A geometry-optimized Li2V3CoO8 structure. Source: Alexandria, functional PBE+U.

a = 5.861 Å, b = 5.861 Å, c = 5.861 Å
α = 60.15°, β = 60.15°, γ = 60.15°
Each line ends with the local moment (μB).
Fractional positions:
Li: 0.875 0.875 0.875  0.01
Li: 0.125 0.125 0.125  0.01
V: 0.500 0.500 0.000  1.34
V: 0.500 0.000 0.500  1.34
V: 0.000 0.500 0.500  1.34
Co: 0.500 0.500 0.500  0.14
O: 0.735 0.286 0.735  -0.04
O: 0.735 0.735 0.286  -0.04
O: 0.261 0.261 0.261  -0.06
O: 0.286 0.735 0.735  -0.04
O: 0.714 0.265 0.265  -0.04
O: 0.739 0.739 0.739  -0.06
O: 0.265 0.265 0.714  -0.04
O: 0.265 0.714 0.265  -0.04

Computed properties:
space-group type: No. 166
raw total energy: -97.00 eV per cell